Record 1
## Pr2SmTl4 (PBE-GGA)

Data for Pr2SmTl4 after structural relaxation.

abc: 4.9113 4.9113 32.1512
angles: 90.00 90.00 120.00
Space group R-3m (No. 166, hexagonal axes)
Unique sites:
Pr  0.0000  0.0000  0.1283 x6
Sm  0.0000  0.0000  0.0000 x3
Tl  0.0000  0.0000  0.2481 x6
Tl  0.0000  0.0000  0.3818 x6

Total magnetization   0.4 μB per formula unit
Mass density   9.27 Mg/m³
Volume   31.982 A^3/atom
Formation energy   -0.1513 eV/atom
Relative energy among the computed polymorphs   7.97 kJ/mol of atoms

Record 2
## CaNbBi2O6 (PBE-GGA)

Data for CaNbBi2O6 after structural relaxation.

abc: 6.0614 6.0614 13.9954
angles: 90.00 90.00 120.00
Space group R3 (No. 146, hexagonal axes)
Unique sites:
Ca  0.0000  0.0000  0.0000 x3
Nb  0.0000  0.0000  0.5151 x3
Bi  0.0000  0.0000  0.2871 x3
Bi  0.0000  0.0000  0.7495 x3
O  0.0127  0.6076  0.2345 x9
O  0.0856  0.3908  0.0700 x9

Total magnetization   0.0 μB per formula unit
Mass density   7.24 Mg/m³
ΔE_f (raw)   -1945 meV/atom
Volume   14.843 A^3/atom

Record 3
## In2BiIrI (PBE-GGA)

Data for In2BiIrI after structural relaxation.

abc: 5.283 5.283 5.368
angles: 90.00 90.00 90.00
Space group P4/mmm (No. 123)
Unique sites:
In  0.000  0.500  0.000 x2
Bi  0.000  0.000  0.500 x1
Ir  0.000  0.000  0.000 x1
I  0.500  0.500  0.500 x1

Total magnetization   0.0 μB per formula unit
Mass density   8.40 Mg/m³
ΔE_f (raw)   -111 meV/atom
Volume   29.967 A^3/atom